1.
{
  "formula": "InAsI2N",
  "functional": "PBE",
  "state": "relaxed",
  "lattice": [[6.7298, 0.0000, 0.0000], [0.0000, 6.7298, 0.0000], [0.0000, 0.0000, 3.6632]],
  "species": ["In", "As", "N", "I", "I"],
  "fractional_positions": [[0.5000, 0.5000, 0.5000], [0.0000, 0.0000, 0.0000], [0.0000, 0.0000, 0.5000], [0.5000, 0.0000, 0.0000], [0.0000, 0.5000, 0.0000]],
  "relative_energy_mev_per_atom": 0.0,
  "e_form_raw_ev_per_atom": 0.43,
  "crystal_system": "tetragonal"
}

***

2.
{
  "formula": "InAsIN2",
  "functional": "PBE",
  "state": "relaxed",
  "lattice": [[-3.6887, 1.7555, 0.3646], [-0.8694, -2.4808, 3.1482], [2.4074, 4.2283, 3.9967]],
  "species": ["I", "N", "N", "As", "In"],
  "fractional_positions": [[0.0000, 0.0000, 0.5000], [0.5000, 0.0000, 0.0000], [0.0000, 0.5000, 0.0000], [0.0000, 0.0000, 0.0000], [0.5000, 0.5000, 0.5000]],
  "relative_energy_mev_per_atom": 0.0,
  "e_form_raw_ev_per_atom": 1.34,
  "crystal_system": "tetragonal"
}

***

3.
{
  "formula": "InAsI2O",
  "functional": "PBE",
  "state": "relaxed",
  "lattice": [[6.0481, 0.0000, 0.0000], [0.0000, 6.0481, 0.0000], [0.0000, 0.0000, 3.8792]],
  "species": ["As", "O", "I", "I", "In"],
  "fractional_positions": [[0.0000, 0.0000, 0.0000], [0.0000, 0.0000, 0.5000], [0.5000, 0.0000, 0.0000], [0.0000, 0.5000, 0.0000], [0.5000, 0.5000, 0.5000]],
  "relative_energy_mev_per_atom": 0.0,
  "e_form_raw_ev_per_atom": -0.35,
  "crystal_system": "tetragonal"
}